1.
VASP calculation (GGA-PBE) on Tl2Cd4In3 after structural relaxation.

Cell and atoms, written as POSCAR:
```
Tl2Cd4In3
1.0
-4.126 -2.093 -1.051
-1.317 -4.482 3.389
-6.277 3.552 6.867
In Tl Cd
3 2 4
Direct
0.335 0.773 0.556
0.000 0.000 0.000
0.665 0.227 0.444
0.337 0.108 0.219
0.663 0.892 0.781
0.668 0.552 0.113
0.332 0.448 0.887
0.000 0.663 0.337
0.000 0.337 0.663
```

Properties
**E_form**: 0.04 eV per atom

=====

2.
VASP calculation (GGA-PBE) on SbTe2Cl after structural relaxation.

Cell and atoms, written as POSCAR:
```
SbTe2Cl
1.0
-3.272 -2.123 3.602
2.299 -4.732 -0.719
2.963 4.218 1.274
Cl Te Sb
1 2 1
Direct
0.500 0.500 0.000
0.000 0.000 0.000
0.250 0.750 0.500
0.750 0.250 0.500
```

=====

| no. | excess energy over the best structure of this formula in the dataset (meV/atom) |
| --- | --- |
| 1 | 0.0 |
| 2 | 372.3 |